(1)
Crystalline Sm2DyHg2 at its relaxed geometry. Source: the Alexandria database, functional PBE-GGA.

Values from the calculation:
Total magnetization ... 0.0 μB per formula unit
Energy of formation from the pure elements ... -0.323 eV/atom
Offset from the most stable computed form ... 51 meV/atom

Lattice parameters (Å, degrees): 4.8294 7.0161 8.4633 90.00 90.00 90.00
With the nearest neighbours (Å) after each atom.
Space group Immm (No. 71)
Symmetry-distinct sites (fractional):
Sm (0.0000, 0.0000, 0.1948) [4 per cell]  6 Hg 3.26-3.30, 1 Sm 3.30, 2 Dy 3.54
Dy (0.0000, 0.5000, 0.0000) [2 per cell]  4 Hg 3.13
Hg (0.0000, 0.2829, 0.5000) [4 per cell]  1 Hg 3.05, 2 Dy 3.13, 6 Sm 3.26-3.30


(2)
Crystalline NbCl3O at its relaxed geometry. Source: the Alexandria database, functional PBE-GGA.

Values from the calculation:
Energy relative to the elements, uncorrected ... 4.4 eV/f.u.
Total magnetization ... 0.0 μB per formula unit

Lattice parameters (Å, degrees): 4.4249 4.4249 4.4249 90.00 90.00 90.00
With the nearest neighbours (Å) after each atom.
Space group Pm-3m (No. 221)
Symmetry-distinct sites (fractional):
Nb (0.0000, 0.0000, 0.0000) [1 per cell]  12 Cl 3.13
Cl (0.0000, 0.5000, 0.5000) [3 per cell]  2 O 2.21
O (0.5000, 0.5000, 0.5000) [1 per cell]  6 Cl 2.21


(3)
Crystalline Mg2CuMo at its relaxed geometry. Source: the Alexandria database, functional PBE-GGA.

Values from the calculation:
Total magnetization ... 1.2 μB per formula unit
Energy of formation from the pure elements ... 0.417 eV/atom
Offset from the most stable computed form ... 260 meV/atom

Lattice parameters (Å, degrees): 4.0683 4.0683 7.9811 90.00 90.00 90.00
With the nearest neighbours (Å) after each atom.
Space group I-4m2 (No. 119)
Symmetry-distinct sites (fractional):
Mg (0.0000, 0.0000, 0.0000) [2 per cell]  4 Mo 2.85, 4 Mg 2.85, 4 Cu 2.88
Mg (0.0000, 0.5000, 0.2500) [2 per cell]  4 Mg 2.85, 4 Cu 2.85, 4 Mo 2.88
Cu (0.0000, 0.0000, 0.5000) [2 per cell]  4 Mo 2.85, 8 Mg 2.85-2.88
Mo (0.0000, 0.5000, 0.7500) [2 per cell]  8 Mg 2.85-2.88, 4 Cu 2.85


(4)
Crystalline CaPaS4 at its relaxed geometry. Source: the Alexandria database, functional PBE-GGA.

Values from the calculation:
Energy relative to the elements, uncorrected ... -9.0 eV/f.u.
Total magnetization ... 0.0 μB per formula unit
Offset from the most stable computed form ... 0 meV/atom

Lattice parameters (Å, degrees): 6.0747 6.6649 6.9249 90.00 90.00 90.00
With the nearest neighbours (Å) after each atom.
Space group Cmmm (No. 65)
Symmetry-distinct sites (fractional):
Ca (0.0000, 0.0000, 0.0000) [2 per cell]  8 S 2.92
Pa (0.0000, 0.5000, 0.5000) [2 per cell]  8 S 2.77
S (0.2500, 0.2500, 0.2685) [8 per cell]  2 Pa 2.77, 2 Ca 2.92, 2 S 3.04


(5)
Crystalline Cs2CdAg2Br6 at its relaxed geometry. Source: the Alexandria database, functional PBE-GGA.

Values from the calculation:
Energy relative to the elements, uncorrected ... -10.9 eV/f.u.
Total magnetization ... 0.0 μB per formula unit

Lattice parameters (Å, degrees): 14.5822 7.9978 8.0024 90.00 119.81 90.00
With the nearest neighbours (Å) after each atom.
Space group C2/m (No. 12)
Symmetry-distinct sites (fractional):
Cs (0.2362, 0.0000, 0.2065) [4 per cell]  7 Br 3.69-4.10, 1 Ag 4.04
Cd (0.0000, 0.0000, 0.5000) [2 per cell]  6 Br 2.79-2.92
Ag (0.0693, 0.5000, 0.2171) [4 per cell]  3 Br 2.60-2.64
Br (0.0405, 0.2375, 0.7834) [8 per cell]  1 Ag 2.64, 1 Cd 2.79
Br (0.2290, 0.0000, 0.6644) [4 per cell]  1 Ag 2.60


(6)
Crystalline Zn2SnPt5 at its relaxed geometry. Source: the Alexandria database, functional PBE-GGA.

Values from the calculation:
Total magnetization ... 0.0 μB per formula unit
Energy of formation from the pure elements ... -0.460 eV/atom

Lattice parameters (Å, degrees): 5.6321 11.0643 4.0722 90.00 90.00 90.00
With the nearest neighbours (Å) after each atom.
Space group Pbam (No. 55)
Symmetry-distinct sites (fractional):
Zn (0.1900, 0.1413, 0.0000) [4 per cell]  9 Pt 2.65-2.89
Sn (0.0000, 0.5000, 0.5000) [2 per cell]  8 Pt 2.71-2.82
Pt (0.0000, 0.0000, 0.5000) [2 per cell]  4 Zn 2.78, 2 Sn 2.82, 6 Pt 2.85-2.87
Pt (0.0487, 0.7434, 0.5000) [4 per cell]  1 Sn 2.71, 4 Zn 2.75, 7 Pt 2.82-2.91
Pt (0.2220, 0.3837, 0.0000) [4 per cell]  3 Zn 2.65-2.89, 2 Sn 2.71, 6 Pt 2.87-2.91


(7)
Crystalline Pu2ThCd at its relaxed geometry. Source: the Alexandria database, functional PBE-GGA.

Values from the calculation:
Total magnetization ... 13.7 μB per formula unit
Energy of formation from the pure elements ... 0.198 eV/atom
Offset from the most stable computed form ... 119 meV/atom

Lattice parameters (Å, degrees): 7.5532 7.5532 7.5532 90.00 90.00 90.00
With the nearest neighbours (Å) after each atom.
Space group Fm-3m (No. 225)
Symmetry-distinct sites (fractional):
Pu (0.2500, 0.2500, 0.2500) [8 per cell]  4 Cd 3.27, 4 Th 3.27
Th (0.0000, 0.0000, 0.0000) [4 per cell]  8 Pu 3.27
Cd (0.0000, 0.0000, 0.5000) [4 per cell]  8 Pu 3.27


(8)
Crystalline La2Ni2P at its relaxed geometry. Source: the Alexandria database, functional PBE-GGA.

Values from the calculation:
Total magnetization ... 0.0 μB per formula unit
Energy of formation from the pure elements ... -0.591 eV/atom
Offset from the most stable computed form ... 0 meV/atom

Lattice parameters (Å, degrees): 7.1136 7.1136 3.9665 90.00 90.00 90.00
With the nearest neighbours (Å) after each atom.
Space group P4/mbm (No. 127)
Symmetry-distinct sites (fractional):
La (0.1906, 0.3094, 0.0000) [4 per cell]  6 Ni 2.76-3.01
Ni (0.1193, 0.6193, 0.5000) [4 per cell]  1 Ni 2.40
P (0.0000, 0.0000, 0.5000) [2 per cell]  4 Ni 2.84


What is the total magnetization in the sixth record? 0.0 μB per formula unit


The highest total magnetization belongs to which entry? Pu2ThCd